Arrangement A

An optimized crystal structure of Sm5Dy4Sc2, computed with PBE.

Lattice parameters (Å, degrees): 3.4522 11.2584 10.9899 120.81 99.04 90.00
Element x y z (fractional)
Sm 0.8223 0.1073 0.6446
Sm 0.8223 0.5373 0.6446
Sm 0.1777 0.4627 0.3554
Sm 0.1777 0.8927 0.3554
Sm 0.5000 0.0000 0.0000
Dy 0.0000 0.2718 0.0000
Dy 0.5897 0.5897 0.1795
Dy 0.0000 0.7282 0.0000
Dy 0.4103 0.4103 0.8205
Sc 0.2172 0.2172 0.4344
Sc 0.7828 0.7828 0.5656

Computed properties:
**V**: 32.79 A^3/atom


Arrangement B

An optimized crystal structure of Sm5Dy4Sc2, computed with PBE.

Lattice parameters (Å, degrees): 3.6285 9.8108 14.2988 89.65 129.40 111.71
Element x y z (fractional)
Sm 0.7323 0.0675 0.6661
Sm 0.2677 0.9325 0.3339
Sm 0.8011 0.6525 0.4596
Sm 0.5000 0.0000 0.0000
Sm 0.1989 0.3475 0.5404
Dy 0.8866 0.2451 0.2564
Dy 0.1910 0.2983 0.9571
Dy 0.1134 0.7549 0.7436
Dy 0.8090 0.7017 0.0429
Sc 0.5191 0.5257 0.1972
Sc 0.4809 0.4743 0.8028

Computed properties:
**V**: 31.49 A^3/atom


Result of the stability comparison: arrangement B is the most stable of them.


Arrangement A

An optimized crystal structure of Sm3Dy2Sc2, computed with PBE.

Lattice parameters (Å, degrees): 5.2428 3.4619 12.0539 90.00 77.44 90.00
Element x y z (fractional)
Sm 0.8433 0.0000 0.3134
Sm 0.0000 0.0000 0.0000
Sm 0.1567 0.0000 0.6866
Dy 0.5745 0.5000 0.8510
Dy 0.4255 0.5000 0.1490
Sc 0.7160 0.5000 0.5681
Sc 0.2840 0.5000 0.4319

Computed properties:
**V**: 30.51 A^3/atom


Arrangement B

An optimized crystal structure of Sm3Dy2Sc2, computed with PBE.

Lattice parameters (Å, degrees): 3.4313 8.3590 8.6935 117.94 101.38 90.00
Element x y z (fractional)
Sm 0.0000 0.5000 0.0000
Sm 0.2129 0.8026 0.4258
Sm 0.7871 0.1974 0.5742
Dy 0.8608 0.6886 0.7216
Dy 0.1392 0.3114 0.2784
Sc 0.5639 0.9101 0.1279
Sc 0.4361 0.0899 0.8721

Computed properties:
**V**: 30.67 A^3/atom


Result of the stability comparison: arrangement A is the most stable of them.


Arrangement A

An optimized crystal structure of Sm3Dy4Sc, computed with PBE.

Lattice parameters (Å, degrees): 6.2368 7.2343 11.2754 90.00 90.00 90.00
Element x y z (fractional)
Sm 0.6473 0.6253 0.0000
Sm 0.9784 0.6232 0.2498
Sm 0.4784 0.3768 0.2502
Sm 0.1473 0.3747 0.5000
Sm 0.4784 0.3768 0.7498
Sm 0.9784 0.6232 0.7502
Dy 0.1513 0.8747 0.0000
Dy 0.6455 0.1244 0.0000
Dy 0.9844 0.1257 0.2448
Dy 0.4844 0.8743 0.2552
Dy 0.1455 0.8756 0.5000
Dy 0.6513 0.1253 0.5000
Dy 0.4844 0.8743 0.7448
Dy 0.9844 0.1257 0.7552
Sc 0.1455 0.3726 0.0000
Sc 0.6455 0.6274 0.5000

Computed properties:
**V**: 31.80 A^3/atom


Arrangement B

An optimized crystal structure of Sm3Dy4Sc, computed with PBE.

Lattice parameters (Å, degrees): 3.4766 11.5516 8.7715 131.14 101.43 90.00
Element x y z (fractional)
Sc 0.5000 0.0000 0.0000
Sm 0.0000 0.5000 0.0000
Sm 0.7607 0.7607 0.5214
Sm 0.2393 0.2393 0.4786
Dy 0.6335 0.3762 0.2670
Dy 0.3665 0.6238 0.7330
Dy 0.3664 0.1088 0.7327
Dy 0.6336 0.8912 0.2673

Computed properties:
**V**: 31.99 A^3/atom


Result of the stability comparison: arrangement A is the most stable of them.


Arrangement A

An optimized crystal structure of SmDySc, computed with PBE.

Lattice parameters (Å, degrees): 5.5716 3.5344 12.7212 133.96 89.99 90.00
Element x y z (fractional)
Sm 0.1604 0.5749 0.7996
Sm 0.6603 0.7810 0.6818
Dy 0.1602 0.2006 0.4498
Dy 0.6604 0.1553 0.0316
Sc 0.1605 0.9163 0.1361
Sc 0.6601 0.4397 0.3453

Computed properties:
**V**: 30.05 A^3/atom


Arrangement B

An optimized crystal structure of SmDySc, computed with PBE.

Lattice parameters (Å, degrees): 3.3912 5.5050 5.5050 120.00 90.00 90.00
Element x y z (fractional)
Sc 0.1655 0.3333 0.6667
Sm 0.6668 0.6667 0.3333
Dy 0.1677 0.0000 0.0000

Computed properties:
**V**: 29.67 A^3/atom


Result of the stability comparison: arrangement A is the most stable of them.


Arrangement A

An optimized crystal structure of SmDySc, computed with PBE.

Lattice parameters (Å, degrees): 3.5019 3.5019 7.7012 103.14 103.14 90.00
Element x y z (fractional)
Sc 0.6676 0.6676 0.3353
Sm 0.0049 0.0049 0.0098
Dy 0.3274 0.3274 0.6549

Computed properties:
**V**: 29.81 A^3/atom


Arrangement B

An optimized crystal structure of SmDySc, computed with PBE.

Lattice parameters (Å, degrees): 4.9114 3.4870 10.4190 90.00 90.00 90.00
Element x y z (fractional)
Sm 0.3469 0.2449 0.5017
Sm 0.8469 0.7450 0.3219
Dy 0.3470 0.2451 0.1488
Dy 0.8468 0.7448 0.6748
Sc 0.8469 0.7450 0.9894
Sc 0.3468 0.2448 0.8342

Computed properties:
**V**: 29.74 A^3/atom


Result of the stability comparison: arrangement A is the most stable of them.


Arrangement A

An optimized crystal structure of Sm5Dy4Sc, computed with PBE.

Lattice parameters (Å, degrees): 3.5580 10.0638 9.4061 105.39 100.90 89.96
Element x y z (fractional)
Sm 0.7000 0.6005 0.3997
Sm 0.0977 0.8067 0.1954
Sm 0.9023 0.1933 0.8046
Sm 0.5000 0.5000 0.0000
Sm 0.3000 0.3995 0.6003
Dy 0.6995 0.0995 0.3984
Dy 0.0991 0.2921 0.1976
Dy 0.3005 0.9005 0.6016
Dy 0.9009 0.7079 0.8024
Sc 0.5000 0.0000 0.0000

Computed properties:
**V**: 31.84 A^3/atom


Arrangement B

An optimized crystal structure of Sm5Dy4Sc, computed with PBE.

Lattice parameters (Å, degrees): 5.8917 8.0148 8.0148 82.24 68.44 68.44
Element x y z (fractional)
Sm 0.7780 0.3724 0.9997
Sm 0.1504 0.9997 0.6276
Sm 0.7777 0.0003 0.3724
Sm 0.1501 0.6276 0.0003
Sm 0.6724 0.0000 0.0000
Dy 0.4431 0.3241 0.6762
Dy 0.7672 0.6762 0.6759
Dy 0.1193 0.3238 0.3241
Dy 0.4434 0.6759 0.3238
Sc 0.2088 0.0000 0.0000

Computed properties:
**V**: 32.73 A^3/atom


Result of the stability comparison: arrangement A is the most stable of them.


Arrangement A

An optimized crystal structure of Sm5Dy2Sc2, computed with PBE.

Lattice parameters (Å, degrees): 3.5644 10.0963 9.3906 57.95 79.06 79.83
Element x y z (fractional)
Sm 0.3353 0.9917 0.3377
Sm 0.6647 0.0083 0.6623
Sm 0.1841 0.6680 0.9638
Sm 0.8159 0.3320 0.0362
Sm 0.0000 0.0000 0.0000
Dy 0.1406 0.3451 0.3737
Dy 0.8594 0.6549 0.6263
Sc 0.4827 0.3364 0.6983
Sc 0.5173 0.6636 0.3017

Computed properties:
**V**: 31.12 A^3/atom


Arrangement B

An optimized crystal structure of Sm5Dy2Sc2, computed with PBE.

Lattice parameters (Å, degrees): 8.4830 7.0448 11.0898 108.52 112.49 90.00
Element x y z (fractional)
Sm 0.1645 0.6838 0.7829
Sm 0.8355 0.9010 0.2171
Sm 0.1183 0.1838 0.7829
Sm 0.8817 0.4010 0.2171
Sm 0.4100 0.9539 0.3243
Sm 0.5900 0.6296 0.6757
Sm 0.4142 0.4539 0.3243
Sm 0.5858 0.1296 0.6757
Sm 0.2051 0.7930 0.5000
Sm 0.7949 0.2930 0.5000
Dy 0.0000 0.0074 0.0000
Dy 0.5000 0.5074 0.0000
Dy 0.1916 0.2892 0.5000
Dy 0.8084 0.7892 0.5000
Sc 0.1753 0.5778 0.0775
Sc 0.8247 0.5003 0.9225
Sc 0.4022 0.0778 0.0775
Sc 0.5978 0.0003 0.9225

Computed properties:
**V**: 31.95 A^3/atom


Result of the stability comparison: arrangement A is the most stable of them.


Arrangement A

An optimized crystal structure of SmDy8Sc2, computed with PBE.

Lattice parameters (Å, degrees): 5.3764 8.1472 9.1810 116.34 107.03 90.00
Element x y z (fractional)
Sm 0.5000 0.0000 0.0000
Dy 0.6426 0.8476 0.2852
Dy 0.3574 0.5624 0.7148
Dy 0.1640 0.1640 0.3279
Dy 0.0000 0.2997 0.0000
Dy 0.8360 0.8360 0.6721
Dy 0.6426 0.4376 0.2852
Dy 0.3574 0.1524 0.7148
Dy 0.0000 0.7003 0.0000
Sc 0.2000 0.6999 0.3999
Sc 0.8000 0.3001 0.6001

Computed properties:
**V**: 30.97 A^3/atom


Arrangement B

An optimized crystal structure of SmDy8Sc2, computed with PBE.

Lattice parameters (Å, degrees): 5.7792 8.8529 9.0996 60.89 74.51 56.70
Element x y z (fractional)
Sm 0.5000 0.0000 0.0000
Dy 0.8236 0.0975 0.2426
Dy 0.8236 0.3401 0.7574
Dy 0.2921 0.4296 0.0000
Dy 0.5000 0.7921 0.4157
Dy 0.5000 0.2079 0.5843
Dy 0.7079 0.5704 0.0000
Dy 0.1764 0.6599 0.2426
Dy 0.1764 0.9025 0.7574
Sc 0.0000 0.3099 0.3803
Sc 0.0000 0.6901 0.6197

Computed properties:
**V**: 30.91 A^3/atom


Result of the stability comparison: arrangement A is the most stable of them.


Arrangement A

An optimized crystal structure of Sm3Dy6Sc, computed with PBE.

Lattice parameters (Å, degrees): 8.4042 8.8846 6.2021 98.05 132.65 90.00
Element x y z (fractional)
Sm 0.7821 0.2576 0.5642
Sm 0.2179 0.7424 0.4358
Sm 0.0000 0.0000 0.0000
Dy 0.3037 0.3584 0.2384
Dy 0.0653 0.6416 0.7616
Dy 0.6963 0.6416 0.7616
Dy 0.9347 0.3584 0.2384
Dy 0.3836 0.1373 0.7671
Dy 0.6164 0.8627 0.2329
Sc 0.5000 0.5000 0.0000

Computed properties:
**V**: 33.44 A^3/atom


Arrangement B

An optimized crystal structure of Sm3Dy6Sc, computed with PBE.

Lattice parameters (Å, degrees): 6.2297 10.8952 10.8952 120.06 90.00 90.00
Element x y z (fractional)
Sm 0.4567 0.9450 0.7197
Sm 0.9567 0.7197 0.9450
Sm 0.0701 0.3876 0.6124
Sm 0.5701 0.6124 0.3876
Sm 0.9567 0.0550 0.2803
Sm 0.4567 0.2803 0.0550
Dy 0.0461 0.7111 0.6197
Dy 0.5461 0.6197 0.7111
Dy 0.3659 0.5347 0.9546
Dy 0.8659 0.9546 0.5347
Dy 0.4090 0.9538 0.0462
Dy 0.6401 0.2773 0.7227
Dy 0.1401 0.7227 0.2773
Dy 0.9090 0.0462 0.9538
Dy 0.3659 0.0454 0.4653
Dy 0.8659 0.4653 0.0454
Dy 0.0461 0.3803 0.2889
Dy 0.5461 0.2889 0.3803
Sc 0.1289 0.2032 0.7968
Sc 0.6289 0.7968 0.2032

Computed properties:
**V**: 32.00 A^3/atom


Result of the stability comparison: arrangement B is the most stable of them.


Arrangement A

An optimized crystal structure of Sm7Dy3Sc, computed with PBE.

Lattice parameters (Å, degrees): 10.0794 10.0034 11.0518 90.00 90.00 139.27
Element x y z (fractional)
Sm 0.8304 0.6520 0.2498
Sm 0.3628 0.1945 0.7504
Sm 0.0980 0.4139 0.4572
Sm 0.0971 0.4151 0.0414
Sm 0.5829 0.9093 0.9838
Sm 0.5833 0.9089 0.5164
Sm 0.6994 0.7883 0.7503
Sm 0.3015 0.2124 0.2503
Sm 0.4168 0.0913 0.0163
Sm 0.4173 0.0909 0.4839
Sm 0.9026 0.5866 0.9573
Sm 0.9034 0.5854 0.5413
Sm 0.6356 0.8040 0.2504
Sm 0.1695 0.3478 0.7498
Dy 0.2665 0.7601 0.7499
Dy 0.9993 0.0004 0.0010
Dy 0.0001 0.9994 0.5001
Dy 0.2431 0.7684 0.2500
Dy 0.7568 0.2319 0.7500
Dy 0.7339 0.2399 0.2499
Sc 0.4997 0.5002 0.0001
Sc 0.5002 0.4995 0.5005

Computed properties:
**V**: 33.05 A^3/atom


Arrangement B

An optimized crystal structure of Sm7Dy3Sc, computed with PBE.

Lattice parameters (Å, degrees): 5.7824 8.4788 8.4788 83.42 109.95 109.95
Element x y z (fractional)
Sm 0.2157 0.2144 0.2144
Sm 0.3094 0.0214 0.5977
Sm 0.6906 0.4023 0.9786
Sm 0.3094 0.5977 0.0214
Sm 0.0000 0.5000 0.5000
Sm 0.6906 0.9786 0.4023
Sm 0.7843 0.7856 0.7856
Dy 0.0000 0.7963 0.2037
Dy 0.5000 0.0000 0.0000
Dy 0.0000 0.2037 0.7963
Sc 0.5000 0.5000 0.5000

Computed properties:
**V**: 33.39 A^3/atom


Result of the stability comparison: arrangement A is the most stable of them.


Arrangement A

An optimized crystal structure of Sm8DySc2, computed with PBE.

Lattice parameters (Å, degrees): 5.4766 8.3396 9.2613 116.76 107.20 90.00
Element x y z (fractional)
Sm 0.6427 0.8457 0.2855
Sm 0.3573 0.5602 0.7145
Sm 0.1614 0.1614 0.3227
Sm 0.0000 0.3009 0.0000
Sm 0.8386 0.8386 0.6773
Sm 0.6427 0.4398 0.2855
Sm 0.3573 0.1543 0.7145
Sm 0.0000 0.6991 0.0000
Dy 0.5000 0.0000 0.0000
Sc 0.2011 0.7011 0.4021
Sc 0.7989 0.2989 0.5979

Computed properties:
**V**: 32.40 A^3/atom


Arrangement B

An optimized crystal structure of Sm8DySc2, computed with PBE.

Lattice parameters (Å, degrees): 5.8471 8.9656 9.1893 60.80 74.86 57.64
Element x y z (fractional)
Sm 0.8277 0.0970 0.2390
Sm 0.8277 0.3360 0.7610
Sm 0.2937 0.4223 0.0000
Sm 0.5000 0.7917 0.4166
Sm 0.5000 0.2083 0.5834
Sm 0.7063 0.5777 0.0000
Sm 0.1723 0.6640 0.2390
Sm 0.1723 0.9030 0.7610
Dy 0.5000 0.0000 0.0000
Sc 0.0000 0.3101 0.3798
Sc 0.0000 0.6899 0.6202

Computed properties:
**V**: 32.29 A^3/atom


Result of the stability comparison: arrangement A is the most stable of them.